CsSn2 | PBE | relaxed

```
CsSn2
1.0
-7.5037 -2.5817 -5.8445
6.3353 -2.2194 7.2157
-3.4952 1.8934 3.6511
Sn Cs
4 2
Cartesian
-4.8814 -2.0168 -1.6323
0.2178 -0.8909 6.6547
-5.4781 -1.0400 1.2793
0.8145 -1.8677 3.7430
4.1571 -1.7802 6.8974
-8.8206 -1.1275 -1.8751
```

Results
The energy above the most stable polymorph in this dataset is 0.000 eV/atom. The density of states at the Fermi level is 1.8 states/eV per cell. The calculation puts the uncorrected energy at -0.11690 hartree per atom.



Ta2FeMo | PBE | relaxed

```
Ta2FeMo
1.0
5.3377 -0.0041 -0.0128
-2.4480 4.5639 -0.0229
0.4418 0.8424 2.6121
Ta Fe Mo
2 1 1
Cartesian
2.8898 0.4191 1.2996
0.0000 0.0000 0.0000
-1.0031 2.7031 1.2946
1.4449 2.2799 -0.0178
```

Results
The energy above the most stable polymorph in this dataset is 0.202 eV/atom. The density of states at the Fermi level is 3.5 states/eV per cell. The calculation puts the uncorrected energy at -0.39409 hartree per atom.



Sm2PaCo2 | PBE | relaxed

```
Sm2PaCo2
1.0
-2.6907 -0.3937 5.4732
-5.5215 -2.5882 0.4046
1.9566 -6.4046 1.6802
Co Sm Pa
4 4 2
Cartesian
-0.9204 -3.5731 4.7532
-2.3513 -7.4610 7.2358
-3.9043 -1.9255 0.3222
-5.3352 -5.8134 2.8048
-1.8866 -5.3966 2.6038
-3.9767 -7.6465 4.7452
-4.3690 -3.9899 4.9542
-2.2790 -1.7400 2.8128
-4.8401 -4.0403 1.1690
-1.4155 -5.3462 6.3890
```

Results
The density of states at the Fermi level is 9.8 states/eV per cell. The calculation puts the uncorrected energy at -0.25394 hartree per atom.



TbSm5Tm6 | PBE | relaxed

```
TbSm5Tm6
1.0
-1.5138 4.5990 1.3891
-3.8947 -3.8092 8.3505
9.2808 0.6935 -1.3060
Tm Sm Tb
6 5 1
Cartesian
4.6044 3.9789 0.9812
-3.6806 -0.5599 6.9632
2.6546 2.0718 5.1618
-0.7322 -2.4957 7.4524
1.2177 -0.5886 3.2718
-1.7278 1.3496 2.7764
4.3839 0.7255 2.3756
-0.5116 0.7577 6.0579
-1.9473 -1.9046 4.1752
1.4258 2.6607 1.8773
2.4465 -1.1775 6.5562
0.0000 0.0000 0.0000
```

Results
The density of states at the Fermi level is 15.7 states/eV per cell. The calculation puts the uncorrected energy at -0.16785 hartree per atom.



Let's list calculated formation energy in order: -0.23 0.03 -0.28 0.02 eV per atom.